The following is a GGA-PBE calculation of a relaxed structure of Na3H2Pd, from Alexandria via LeMat-Bulk.

abc: 6.5680 6.5680 8.6869
angles: 90.00 90.00 120.00
Space group R-3m (No. 166, hexagonal axes)
Inequivalent atoms, fractional coordinates:
Na1 0.0000 0.5000 0.0000 x9
H1 0.0000 0.0000 0.1920 x6
Pd1 0.0000 0.0000 0.0000 x3

The following is a GGA-PBE calculation of a relaxed structure of NaH2Pd2, from Alexandria via LeMat-Bulk.

abc: 3.850 3.850 9.575
angles: 90.00 90.00 90.00
Space group I4/mmm (No. 139)
Inequivalent atoms, fractional coordinates:
Na1 0.000 0.000 0.000 x2
H1 0.000 0.000 0.261 x4
Pd1 0.000 0.500 0.250 x4

The following is a GGA-PBE calculation of a relaxed structure of NaHPd3, from Alexandria via LeMat-Bulk.

abc: 9.061 4.096 8.550
angles: 90.00 119.09 90.00
Space group C2/m (No. 12)
Inequivalent atoms, fractional coordinates:
Na1 0.125 0.000 0.431 x4
H1 0.087 0.500 0.889 x4
Pd1 0.118 0.500 0.693 x4
Pd2 0.126 0.000 0.942 x4
Pd3 0.134 0.500 0.180 x4

The following is a GGA-PBE calculation of a relaxed structure of NaH4Pd2, from Alexandria via LeMat-Bulk.

abc: 4.954 2.994 5.531
angles: 90.00 108.06 90.00
Space group P2/m (No. 10)
Inequivalent atoms, fractional coordinates:
Na1 0.000 0.000 0.000 x1
H1 0.221 0.000 0.656 x2
H2 0.284 0.500 0.345 x2
Pd1 0.000 0.500 0.500 x1
Pd2 0.500 0.000 0.500 x1

The following is a GGA-PBE calculation of a relaxed structure of NaHPd3, from Alexandria via LeMat-Bulk.

abc: 2.9546 2.9546 18.9214
angles: 90.00 90.00 120.00
Space group P6_3/mmc (No. 194)
Inequivalent atoms, fractional coordinates:
Na1 0.0000 0.0000 0.0000 x2
H1 0.3333 0.6667 0.2500 x2
Pd1 0.0000 0.0000 0.2500 x2
Pd2 0.3333 0.6667 0.1271 x4

The following is a GGA-PBE calculation of a relaxed structure of Na3H3Pd, from Alexandria via LeMat-Bulk.

abc: 9.2432 9.2432 4.3234
angles: 90.00 90.00 120.00
Space group R3m (No. 160, hexagonal axes)
Inequivalent atoms, fractional coordinates:
Na1 0.1942 0.3884 0.0000 x9
H1 0.2168 0.1084 0.8393 x9
Pd1 0.0000 0.0000 0.8474 x3

The following is a GGA-PBE calculation of a relaxed structure of Na3H3Pd, from Alexandria via LeMat-Bulk.

abc: 7.129 12.289 4.840
angles: 90.00 90.00 90.00
Space group Cmcm (No. 63)
Inequivalent atoms, fractional coordinates:
Na1 0.000 0.183 0.250 x4
Na2 0.225 0.408 0.250 x8
H1 0.000 0.190 0.750 x4
H2 0.213 0.404 0.750 x8
Pd1 0.000 0.333 0.750 x4

The following is a GGA-PBE calculation of a relaxed structure of Na3H2Pd2, from Alexandria via LeMat-Bulk.

abc: 5.135 8.418 11.101
angles: 90.00 90.00 90.00
Space group Pbcm (No. 57)
Inequivalent atoms, fractional coordinates:
Na1 0.238 0.111 0.250 x4
Na2 0.254 0.060 0.576 x8
H1 0.058 0.750 0.000 x4
H2 0.434 0.664 0.750 x4
Pd1 0.253 0.720 0.625 x8

Number 1: E_tot -2.73 eV per atom, V 324.5 Å³ per cell. Number 2: E_tot -3.88 eV per atom, V 141.9 Å³ per cell. Number 3: E_tot -4.11 eV per atom, V 277.3 Å³ per cell. Number 4: E_tot -3.73 eV per atom, V 78.0 Å³ per cell. Number 5: E_tot -4.04 eV per atom, V 143.0 Å³ per cell. Number 6: E_tot -2.91 eV per atom, V 319.9 Å³ per cell. Number 7: E_tot -2.94 eV per atom, V 424.0 Å³ per cell. Number 8: E_tot -3.25 eV per atom, V 479.9 Å³ per cell.